No. 1
Material: Mg2B7Rh12
Method: DFT, GGA-PBE
State: relaxed

Values from the calculation:
Its calculated density is 8.9 g cm⁻³. The crystal system is hexagonal. Its calculated volume is 12.1 Å³/atom. For the total magnetization, the calculation gives 0.00 μB/cell. The value obtained for the uncorrected energy is -6.9163 eV/atom.

Unit cell a=8.7495 b=8.7495 c=3.8210 alpha=90.00 beta=90.00 gamma=120.00
Space group P-6 (No. 174)
Asymmetric unit:
Mg 0.0000 0.0000 0.0000 x1
Mg 0.3333 0.6667 0.5000 x1
B 0.0750 0.4180 0.0000 x3
B 0.2874 0.2310 0.5000 x3
B 0.6667 0.3333 0.0000 x1
Rh 0.0633 0.2612 0.5000 x3
Rh 0.1193 0.6786 0.0000 x3
Rh 0.3848 0.1827 0.0000 x3
Rh 0.5518 0.4343 0.5000 x3

---

No. 2
Material: MgBRh3
Method: DFT, GGA-PBE
State: relaxed

Values from the calculation:
Its calculated density is 8.4 g cm⁻³. The crystal system is monoclinic. Its calculated volume is 13.5 Å³/atom. The energy above the most stable polymorph in this dataset is 168 meV/atom. For the total magnetization, the calculation gives 0.00 μB/cell.

Unit cell a=7.164 b=5.237 c=8.647 alpha=90.00 beta=123.38 gamma=90.00
Space group P2_1/c (No. 14)
Asymmetric unit:
Mg 0.165 0.206 0.076 x4
B 0.258 0.630 0.423 x4
Rh 0.044 0.543 0.796 x4
Rh 0.296 0.704 0.176 x4
Rh 0.408 0.236 0.938 x4

---

No. 3
Material: MgBRh3
Method: DFT, GGA-PBE
State: relaxed

Values from the calculation:
Its calculated density is 8.7 g cm⁻³. The crystal system is monoclinic. Its calculated volume is 13.1 Å³/atom. The energy above the most stable polymorph in this dataset is 128 meV/atom. For the total magnetization, the calculation gives 0.00 μB/cell.

Unit cell a=9.669 b=2.837 c=9.984 alpha=90.00 beta=106.28 gamma=90.00
Space group C2/m (No. 12)
Asymmetric unit:
Mg 0.026 0.000 0.356 x4
B 0.182 0.500 0.800 x4
Rh 0.113 0.000 0.929 x4
Rh 0.146 0.500 0.178 x4
Rh 0.185 0.500 0.590 x4

---

No. 4
Material: MgBRh3
Method: DFT, GGA-PBE
State: relaxed

Values from the calculation:
Its calculated density is 5.8 g cm⁻³. The crystal system is orthorhombic. Its calculated volume is 19.7 Å³/atom. The energy above the most stable polymorph in this dataset is 675 meV/atom. For the total magnetization, the calculation gives 0.00 μB/cell.

Unit cell a=2.802 b=5.437 c=12.915 alpha=90.00 beta=90.00 gamma=90.00
Space group Amm2 (No. 38)
Asymmetric unit:
Mg 0.000 0.000 0.000 x2
B 0.500 0.000 0.644 x2
Rh 0.000 0.238 0.182 x4
Rh 0.500 0.000 0.822 x2

---

No. 5
Material: Mg2B2SbRh5
Method: DFT, GGA-PBE
State: relaxed

Values from the calculation:
Its calculated density is 8.5 g cm⁻³. The crystal system is tetragonal. Its calculated volume is 13.8 Å³/atom. For the total magnetization, the calculation gives 0.00 μB/cell. The value obtained for the uncorrected energy is -6.3042 eV/atom.

Unit cell a=9.571 b=9.571 c=3.020 alpha=90.00 beta=90.00 gamma=90.00
Space group P4/mbm (No. 127)
Asymmetric unit:
Mg 0.174 0.326 0.000 x4
B 0.122 0.622 0.000 x4
Sb 0.000 0.000 0.000 x2
Rh 0.000 0.500 0.500 x2
Rh 0.073 0.779 0.500 x8

---

No. 6
Material: Mg2ScB2Rh5
Method: DFT, GGA-PBE
State: relaxed

Values from the calculation:
Its calculated density is 7.6 g cm⁻³. The crystal system is tetragonal. Its calculated volume is 13.7 Å³/atom. For the total magnetization, the calculation gives 0.00 μB/cell. The value obtained for the uncorrected energy is -6.5977 eV/atom.

Unit cell a=9.602 b=9.602 c=2.980 alpha=90.00 beta=90.00 gamma=90.00
Space group P4/mbm (No. 127)
Asymmetric unit:
Mg 0.177 0.323 0.000 x4
Sc 0.000 0.000 0.000 x2
B 0.123 0.623 0.000 x4
Rh 0.000 0.500 0.500 x2
Rh 0.071 0.777 0.500 x8

---

No. 7
Material: Mg2SnB2Rh5
Method: DFT, GGA-PBE
State: relaxed

Values from the calculation:
Its calculated density is 8.5 g cm⁻³. The crystal system is tetragonal. Its calculated volume is 13.8 Å³/atom. For the total magnetization, the calculation gives 0.00 μB/cell. The value obtained for the uncorrected energy is -6.3277 eV/atom.

Unit cell a=9.623 b=9.623 c=2.979 alpha=90.00 beta=90.00 gamma=90.00
Space group P4/mbm (No. 127)
Asymmetric unit:
Mg 0.176 0.324 0.000 x4
Sn 0.000 0.000 0.000 x2
B 0.122 0.622 0.000 x4
Rh 0.000 0.500 0.500 x2
Rh 0.073 0.778 0.500 x8

---

No. 8
Material: Mg2TaBRh
Method: DFT, GGA-PBE
State: relaxed

Values from the calculation:
Its calculated density is 5.3 g cm⁻³. The crystal system is tetragonal. Its calculated volume is 21.6 Å³/atom. For the total magnetization, the calculation gives 0.00 μB/cell. The value obtained for the uncorrected energy is -4.5862 eV/atom.

Unit cell a=4.738 b=4.738 c=4.813 alpha=90.00 beta=90.00 gamma=90.00
Space group P4/mmm (No. 123)
Asymmetric unit:
Mg 0.000 0.500 0.000 x2
Ta 0.000 0.000 0.500 x1
B 0.500 0.500 0.500 x1
Rh 0.000 0.000 0.000 x1

---

No. 9
Material: Tb2MgB2Rh5
Method: DFT, GGA-PBE
State: relaxed

Values from the calculation:
Its calculated density is 9.8 g cm⁻³. The crystal system is tetragonal. Its calculated volume is 14.9 Å³/atom. For the total magnetization, the calculation gives 0.00 μB/cell. The value obtained for the uncorrected energy is -6.8543 eV/atom.

Unit cell a=9.652 b=9.652 c=3.194 alpha=90.00 beta=90.00 gamma=90.00
Space group P4/mbm (No. 127)
Asymmetric unit:
Tb 0.176 0.324 0.000 x4
Mg 0.000 0.000 0.000 x2
B 0.123 0.623 0.000 x4
Rh 0.000 0.500 0.500 x2
Rh 0.070 0.775 0.500 x8

---

No. 10
Material: ThMgBRh4
Method: DFT, GGA-PBE
State: relaxed

Values from the calculation:
Its calculated density is 9.6 g cm⁻³. The crystal system is orthorhombic. Its calculated volume is 16.8 Å³/atom. For the total magnetization, the calculation gives 0.00 μB/cell. The value obtained for the uncorrected energy is -6.9891 eV/atom.

Unit cell a=5.862 b=13.553 c=5.913 alpha=90.00 beta=90.00 gamma=90.00
Space group Cmcm (No. 63)
Asymmetric unit:
Th 0.000 0.090 0.250 x4
Mg 0.000 0.386 0.250 x4
B 0.000 0.265 0.750 x4
Rh 0.000 0.103 0.750 x4
Rh 0.000 0.415 0.750 x4
Rh 0.250 0.250 0.000 x8

---

No. 11
Material: ThMgB2Rh5
Method: DFT, GGA-PBE
State: relaxed

Values from the calculation:
Its calculated density is 9.9 g cm⁻³. The crystal system is tetragonal. Its calculated volume is 14.8 Å³/atom. For the total magnetization, the calculation gives 0.00 μB/cell. The value obtained for the uncorrected energy is -7.1595 eV/atom.

Unit cell a=4.203 b=4.203 c=7.548 alpha=90.00 beta=90.00 gamma=90.00
Space group P4/mmm (No. 123)
Asymmetric unit:
Th 0.000 0.000 0.000 x1
Mg 0.000 0.000 0.500 x1
B 0.500 0.500 0.307 x2
Rh 0.000 0.500 0.279 x4
Rh 0.500 0.500 0.000 x1

---

No. 12
Material: Th3MgB2Rh9
Method: DFT, GGA-PBE
State: relaxed

Values from the calculation:
Its calculated density is 11.0 g cm⁻³. The crystal system is trigonal. Its calculated volume is 16.8 Å³/atom. For the total magnetization, the calculation gives 0.00 μB/cell. The value obtained for the uncorrected energy is -7.6116 eV/atom.

Unit cell a=6.1482 b=6.1482 c=7.7012 alpha=90.00 beta=90.00 gamma=120.00
Space group P-3m1 (No. 164)
Asymmetric unit:
Th 0.0000 0.0000 0.0000 x1
Th 0.3333 0.6667 0.6594 x2
Mg 0.0000 0.0000 0.5000 x1
B 0.3333 0.6667 0.1491 x2
Rh 0.0000 0.5000 0.0000 x3
Rh 0.1779 0.3558 0.3085 x6